i.
A plane-wave DFT calculation with PBE was carried out for a geometry-optimized MnTl2Si structure.

Symmetry: No. 216
Calculated volume (Å³ per cell): 93.0

a = 5.0855 Å, b = 5.0855 Å, c = 5.0855 Å
α = 60.00°, β = 60.00°, γ = 60.00°
Last column: magnetic moment on the atom in μB.
Element x y z (fractional)
Mn1 0.5000 0.5000 0.5000  4.10
Si1 0.7500 0.7500 0.7500  -0.01
Tl1 0.0000 0.0000 0.0000  0.01
Tl2 0.2500 0.2500 0.2500  0.02

=====

ii.
A plane-wave DFT calculation with PBE was carried out for a geometry-optimized MnTl2Si structure.

Symmetry: No. 10
Calculated volume (Å³ per cell): 89.2

a = 3.2792 Å, b = 5.4340 Å, c = 6.4659 Å
α = 50.72°, β = 90.00°, γ = 90.00°
Last column: magnetic moment on the atom in μB.
Element x y z (fractional)
Mn1 0.5000 0.5000 0.5000  3.97
Si1 0.0000 0.0000 0.5000  -0.02
Tl1 0.0000 0.0000 0.0000  -0.02
Tl2 0.5000 0.5000 0.0000  0.00

=====

iii.
A plane-wave DFT calculation with PBE was carried out for a geometry-optimized MnTl2Si structure.

Symmetry: No. 47
Calculated volume (Å³ per cell): 90.2

a = 3.3442 Å, b = 5.3698 Å, c = 5.0221 Å
α = 90.00°, β = 90.00°, γ = 90.00°
Last column: magnetic moment on the atom in μB.
Element x y z (fractional)
Mn1 0.5000 0.0000 0.5000  3.96
Si1 0.0000 0.5000 0.5000  -0.02
Tl1 0.0000 0.0000 0.0000  -0.03
Tl2 0.5000 0.5000 0.0000  0.01

=====

iv.
A plane-wave DFT calculation with PBE was carried out for a geometry-optimized MnTl2Si structure.

Symmetry: No. 122
Calculated volume (Å³ per cell): 229.2

a = 10.1618 Å, b = 10.1618 Å, c = 7.5204 Å
α = 47.50°, β = 47.50°, γ = 90.00°
Last column: magnetic moment on the atom in μB.
Element x y z (fractional)
Tl1 0.8744 0.1250 0.2500  -0.01
Tl2 0.8756 0.6250 0.2500  -0.02
Tl3 0.3750 0.1256 0.7500  -0.03
Tl4 0.8750 0.1244 0.7500  -0.03
Mn1 0.0000 0.0000 0.0000  1.17
Mn2 0.7500 0.2500 0.5000  1.17
Si1 0.5000 0.5000 0.0000  -0.06
Si2 0.2500 0.7500 0.5000  -0.06

=====

Stability, highest: iv